# Cs3ZnSb

A relaxed Cs3ZnSb crystal (GGA-PBE, Alexandria).

The value obtained for the formation energy (no corrections) is -14 kJ per mole of atoms. The value obtained for the total energy is -0.064 Ha/atom.

It has space group Ima2 (No. 46), with a = 21.2848 Å, b = 7.6225 Å, c = 9.4274 Å, α = 90.00°, β = 90.00° and γ = 90.00°. The inequivalent atoms are Cs at (0.0940, 0.2457, 0.0000), Cs at (0.2500, 0.6504, 0.6251), Zn at (0.2500, 0.1126, 0.4786) and Sb at (0.2500, 0.1638, 0.7577).